Sr3Pt8Au: optimized geometry, GGA-PBE.

```
Sr3Pt8Au
1.0
5.282 0.000 1.567
2.409 4.701 1.567
0.051 0.031 9.514
Pt Sr Au
8 3 1
Cartesian
6.272 3.833 7.916
3.167 0.324 8.696
0.493 0.301 3.210
1.690 2.638 3.988
3.118 0.301 3.988
4.370 2.671 9.479
2.404 1.469 1.583
1.732 2.671 8.696
4.806 2.938 3.170
0.096 0.059 9.362
3.838 2.346 6.434
1.016 0.621 6.260
```

Properties
- Energy: -64.75 eV per formula unit
- V: 19.64 A^3/atom
- Formation enthalpy at 0 K: -675 meV per atom
- Density: 14.23 g/cm3

=====

YBiTe: optimized geometry, GGA-PBE.

```
YBiTe
1.0
-1.572 -2.834 2.972
4.107 -1.081 1.142
-1.280 8.783 4.445
Bi Te Y
2 2 2
Cartesian
2.054 -0.540 0.571
-0.786 -1.417 1.486
-0.005 2.568 2.446
1.260 2.300 6.113
-0.009 4.862 4.632
1.264 0.006 3.928
```

Properties
- Energy relative to the elements, uncorrected: -285 kJ/mol of formula units
- Energy: -16.44 eV per formula unit
- V: 30.39 A^3/atom
- Density: 7.75 g/cm3

=====

AcSm3Ho2: optimized geometry, GGA-PBE.

```
AcSm3Ho2
1.0
-4.811 0.087 4.837
3.291 -5.396 2.568
4.742 4.332 6.462
Sm Ho Ac
6 4 2
Cartesian
2.615 0.165 4.950
3.532 3.315 8.588
0.607 -1.142 8.917
-0.314 -1.071 5.525
-0.309 -4.292 5.279
3.536 0.094 8.342
1.214 1.800 10.870
2.008 -2.777 2.996
2.811 -3.051 6.528
0.411 2.074 7.339
6.301 -1.777 7.567
-3.079 0.800 6.299
```

Properties
- Energy relative to the lowest polymorph listed for this composition: 0.0000 eV per atom
- Energy: -26.89 eV per formula unit
- V: 34.43 A^3/atom
- Formation enthalpy at 0 K: 88 meV per atom
- Density: 8.10 g/cm3

=====

CuO: optimized geometry, GGA-PBE.

```
CuO
1.0
8.647 0.000 0.000
0.000 2.803 0.000
0.000 0.000 5.946
O Cu
6 6
Cartesian
6.127 1.401 1.147
0.000 1.401 2.026
1.803 0.000 4.120
4.323 0.000 5.000
6.843 0.000 4.120
2.520 1.401 1.147
7.280 0.000 1.652
0.000 0.000 4.281
1.367 0.000 1.652
5.691 1.401 4.625
2.956 1.401 4.625
4.323 1.401 1.308
```

Properties
- Energy relative to the elements, uncorrected: -86 kJ/mol of formula units
- Energy: -9.95 eV per formula unit
- V: 12.01 A^3/atom
- Density: 5.50 g/cm3